[1]
DFT (PBE) results for crystalline PrTmHg6 at its relaxed geometry.

Structure (CIF):
```
data_PrTmHg6
_chemical_formula_sum 'Pr1 Tm1 Hg6'
_cell_length_a 6.6461
_cell_length_b 6.6461
_cell_length_c 5.0255
_cell_angle_alpha 90.00
_cell_angle_beta 90.00
_cell_angle_gamma 120.00
_space_group_name_H-M_alt 'P -6 m 2'
_space_group_IT_number 187
_space_group_name_Hall 'P -6 2'
loop_
_atom_site_label
_atom_site_fract_x
_atom_site_fract_y
_atom_site_fract_z
_atom_site_occupancy
Pr1 0.0000 0.0000 0.0000 1
Tm1 0.3333 0.6667 0.5000 1
Hg1 0.0042 0.5021 0.0000 1
Hg2 0.3434 0.1717 0.5000 1
```

Calculated values
**E_form**: -343 meV/atom
**Calculated volume**: 192.2 Å³/cell
**Crystal system**: hexagonal
**Size of the total moment**: 0.002 μB/cell
**VASP energy**: -1.723 eV per atom

[2]
DFT (PBE) results for crystalline PrTmHg2 at its relaxed geometry.

Structure (CIF):
```
data_PrTmHg2
_chemical_formula_sum 'Pr1 Tm1 Hg2'
_cell_length_a 3.699
_cell_length_b 3.699
_cell_length_c 7.738
_cell_angle_alpha 90.00
_cell_angle_beta 90.00
_cell_angle_gamma 90.00
_space_group_name_H-M_alt 'P 4/m m m'
_space_group_IT_number 123
_space_group_name_Hall '-P 4 2'
loop_
_atom_site_label
_atom_site_fract_x
_atom_site_fract_y
_atom_site_fract_z
_atom_site_occupancy
Pr1 0.000 0.000 0.000 1
Tm1 0.000 0.000 0.500 1
Hg1 0.500 0.500 0.275 1
```

Calculated values
**E_form**: -477 meV/atom
**Calculated volume**: 105.9 Å³/cell
**Crystal system**: tetragonal
**Size of the total moment**: 0.529 μB/cell
**VASP energy**: -2.938 eV per atom

[3]
DFT (PBE) results for crystalline PrHgW at its relaxed geometry.

Structure (CIF):
```
data_PrHgW
_chemical_formula_sum 'Pr4 Hg4 W4'
_cell_length_a 6.929
_cell_length_b 6.929
_cell_length_c 6.929
_cell_angle_alpha 90.00
_cell_angle_beta 90.00
_cell_angle_gamma 90.00
_space_group_name_H-M_alt 'F -4 3 m'
_space_group_IT_number 216
_space_group_name_Hall 'F -4 2 3'
loop_
_atom_site_label
_atom_site_fract_x
_atom_site_fract_y
_atom_site_fract_z
_atom_site_occupancy
Pr1 0.000 0.000 0.000 1
Hg1 0.000 0.000 0.500 1
W1 0.250 0.250 0.750 1
```

Calculated values
**E_form**: 1062 meV/atom
**Calculated volume**: 332.7 Å³/cell
**Energy above the most stable polymorph in this dataset**: 0 meV/atom
**Crystal system**: cubic
**Size of the total moment**: 12.083 μB/cell
**VASP energy**: -4.949 eV per atom

[4]
DFT (PBE) results for crystalline PrY2Hg5 at its relaxed geometry.

Structure (CIF):
```
data_PrY2Hg5
_chemical_formula_sum 'Pr2 Y4 Hg10'
_cell_length_a 5.257
_cell_length_b 5.257
_cell_length_c 14.688
_cell_angle_alpha 90.00
_cell_angle_beta 90.00
_cell_angle_gamma 90.00
_space_group_name_H-M_alt 'I 4/m m m'
_space_group_IT_number 139
_space_group_name_Hall '-I 4 2'
loop_
_atom_site_label
_atom_site_fract_x
_atom_site_fract_y
_atom_site_fract_z
_atom_site_occupancy
Pr1 0.000 0.000 0.000 1
Y1 0.000 0.000 0.267 1
Hg1 0.000 0.000 0.500 1
Hg2 0.000 0.500 0.128 1
```

Calculated values
**E_form**: -459 meV/atom
**Calculated volume**: 405.9 Å³/cell
**Crystal system**: tetragonal
**Size of the total moment**: 0.011 μB/cell
**VASP energy**: -2.858 eV per atom